No. 1
Mg2RePb, relaxed, DFT GGA-PBE; E_form = 0.567 eV/atom; total moment = 0.0 Bohr magnetons per cell
1.0
1.657 -2.464 0.000
1.657 2.464 0.000
0.000 0.000 10.711
Mg Re Pb
2 1 1
Direct
0.000 0.000 0.000 Mg
0.500 0.500 0.253 Mg
0.000 0.000 0.458 Re
0.500 0.500 0.686 Pb

No. 2
NaGaTe2I, relaxed, DFT GGA-PBE; total moment = 0.0 Bohr magnetons per cell; formation energy without anion corrections = -0.184 eV/atom
1.0
5.401 0.000 0.000
0.000 5.401 0.000
0.000 0.000 6.201
Na Ga Te I
1 1 2 1
Direct
0.000 0.000 0.000 Na
0.500 0.500 0.500 Ga
0.000 0.500 0.500 Te
0.500 0.000 0.500 Te
0.500 0.500 0.000 I